No. 1
The following is a PBE calculation of a geometry-optimized Pu6NbSn10 structure, from Alexandria via LeMat-Bulk.

Properties
**Space-group type**: C2/m (12)
**DFT formation energy**: -0.241 eV per atom
**Mass density**: 10288 kg/m³

a b c (Å): 6.1416 9.1301 9.1154
angles (deg): 119.94 90.01 90.00
Closest atoms and distances in Å follow each position.
Fractional positions:
Pu 0.7288 0.0000 0.6079  9 Sn 3.14-3.48, 1 Pu 3.43
Pu 0.2712 0.0000 0.3921  9 Sn 3.14-3.48, 1 Pu 3.43
Pu 0.7289 0.6081 0.9999  9 Sn 3.14-3.48, 1 Pu 3.44
Pu 0.2712 0.6081 0.6083  9 Sn 3.14-3.48, 1 Pu 3.44
Pu 0.2711 0.3919 0.0001  9 Sn 3.14-3.48, 1 Pu 3.44
Pu 0.7288 0.3919 0.3917  9 Sn 3.14-3.48, 1 Pu 3.44
Sn 0.2067 0.2433 0.2434  1 Nb 2.86, 2 Pu 3.15
Sn 0.5000 0.6668 0.3334  2 Sn 3.07, 6 Pu 3.14-3.15
Sn 0.5000 0.3332 0.6666  2 Sn 3.07, 6 Pu 3.14-3.15
Sn 0.0000 0.3333 0.6667  2 Sn 3.07, 6 Pu 3.27
Sn 0.2071 0.0000 0.7564  1 Nb 2.86, 2 Pu 3.16
Sn 0.2067 0.7567 0.0002  1 Nb 2.86, 2 Pu 3.15
Sn 0.7933 0.7567 0.7566  1 Nb 2.86, 2 Pu 3.15
Sn 0.7929 0.0000 0.2436  1 Nb 2.86, 2 Pu 3.16
Sn 0.7933 0.2433 0.9998  1 Nb 2.86, 2 Pu 3.15
Sn 0.0000 0.6667 0.3333  2 Sn 3.07, 6 Pu 3.27
Nb 0.5000 0.0000 0.0000  6 Sn 2.86

No. 2
The following is a PBE calculation of a geometry-optimized PuNb2Sn structure, from Alexandria via LeMat-Bulk.

Properties
**Offset from the most stable computed form**: 0.76 kcal/mol of atoms
**Space-group type**: R-3m (166)
**DFT formation energy**: 0.048 eV per atom
**Mass density**: 11272 kg/m³

a b c (Å): 4.8474 4.8474 4.8581
angles (deg): 60.07 60.07 60.00
Closest atoms and distances in Å follow each position.
Fractional positions:
Sn 0.0000 0.0000 0.0000  8 Nb 2.96-2.98
Pu 0.5000 0.5000 0.5000  8 Nb 2.96-3.00
Nb 0.2483 0.2483 0.2552  4 Sn 2.96-2.98, 4 Pu 2.96-3.00
Nb 0.7517 0.7517 0.7448  4 Sn 2.96-2.98, 4 Pu 2.96-3.00